Entry 1:
Entry from OQMD: a geometry-optimized LuZrSnC structure (PBE).

a = 3.4407 Å, b = 3.4407 Å, c = 15.0817 Å
α = 90.00°, β = 90.00°, γ = 120.00°
Positions (direct):
C: 0.0000 0.0000 0.5048
Zr: 0.6667 0.3333 0.5845
Sn: 0.3333 0.6667 0.7453
Sn: 0.6667 0.3333 0.2453
Lu: 0.3333 0.6667 0.4154
C: 0.0000 0.0000 0.0048
Lu: 0.6667 0.3333 0.9154
Zr: 0.3333 0.6667 0.0845

Calculated values
Its space group is P6_3mc (186). The total DFT energy (no corrections) comes out at -58.3 eV per cell. The calculation puts the energy above the most stable polymorph in this dataset at 0.000 eV per atom.

***

Entry 2:
Entry from OQMD: a geometry-optimized Lu2Ta4Tl3C3 structure (PBE).

a = 5.7603 Å, b = 5.7632 Å, c = 14.9344 Å
α = 79.08°, β = 78.88°, γ = 60.02°
Positions (direct):
C: 0.1532 0.1738 0.0000
Ta: 0.3074 0.9653 0.5740
Tl: 0.0465 0.7500 0.2500
Lu: 0.5339 0.1852 0.9045
Ta: 0.2035 0.8565 0.9260
C: 0.0000 0.0000 0.5000
Tl: 0.9535 0.2500 0.7500
Tl: 0.5839 0.8800 0.7466
Lu: 0.4661 0.8148 0.0955
C: 0.3269 0.3261 0.5001
Lu: 0.3765 0.6852 0.4045
Lu: 0.6235 0.3148 0.5955
Ta: 0.6926 0.0347 0.4260
C: 0.8468 0.8262 0.0000
C: 0.6730 0.6739 0.4999
Ta: 0.1533 0.4653 0.0740
Ta: 0.0141 0.3565 0.4260
Tl: 0.4161 0.1200 0.2534
Tl: 0.7895 0.3800 0.2466
Ta: 0.9859 0.6435 0.5740
C: 0.5000 0.5000 0.0000
Ta: 0.8467 0.5347 0.9260
Tl: 0.2104 0.6200 0.7534
Ta: 0.7965 0.1435 0.0740

Calculated values
Its space group is C2/c (15). The total DFT energy (no corrections) comes out at -191.4 eV per cell.

***

Entry 3:
Entry from OQMD: a geometry-optimized Lu4Ta2Tl3C3 structure (PBE).

a = 5.9154 Å, b = 5.9154 Å, c = 15.4763 Å
α = 101.55°, β = 101.55°, γ = 60.20°
Positions (direct):
C: 0.1962 0.6521 0.5000
Lu: 0.6969 0.8766 0.0889
Tl: 0.4194 0.2803 0.2536
Ta: 0.6529 0.4760 0.9297
Tl: 0.1178 0.8822 0.2500
Lu: 0.0428 0.1862 0.0889
Ta: 0.3471 0.5240 0.0703
C: 0.6521 0.1962 0.0000
C: 0.0000 0.5000 0.0000
Ta: 0.4760 0.6529 0.4297
Lu: 0.1234 0.3031 0.4111
Lu: 0.1862 0.0428 0.5889
Lu: 0.8138 0.9572 0.4111
Tl: 0.7197 0.5806 0.2464
C: 0.8038 0.3479 0.5000
Tl: 0.8822 0.1178 0.7500
Lu: 0.3031 0.1234 0.9111
C: 0.3479 0.8038 0.0000
Ta: 0.5240 0.3471 0.5703
Tl: 0.5806 0.7197 0.7464
Lu: 0.8766 0.6969 0.5889
C: 0.5000 0.0000 0.5000
Tl: 0.2803 0.4194 0.7536
Lu: 0.9572 0.8138 0.9111

Calculated values
Its space group is C2/c (15). The total DFT energy (no corrections) comes out at -163.9 eV per cell.

***

Entry 4:
Entry from OQMD: a geometry-optimized Lu4Ta2Zn3C3 structure (PBE).

a = 5.8356 Å, b = 5.8356 Å, c = 14.5761 Å
α = 102.43°, β = 102.43°, γ = 59.89°
Positions (direct):
Lu: 0.1914 0.0472 0.6016
Lu: 0.0472 0.1914 0.1016
Zn: 0.5880 0.6643 0.7486
Ta: 0.4734 0.6549 0.4269
Zn: 0.4120 0.3357 0.2514
Ta: 0.3451 0.5266 0.0731
Zn: 0.3357 0.4120 0.7514
Lu: 0.9528 0.8086 0.8984
C: 0.8040 0.3479 0.5000
C: 0.1960 0.6521 0.5000
C: 0.5000 0.0000 0.5000
C: 0.3479 0.8040 0.0000
Lu: 0.7009 0.8832 0.1015
Zn: 0.6643 0.5880 0.2486
C: 0.0000 0.5000 0.0000
Lu: 0.2991 0.1168 0.8985
Zn: 0.8437 0.1563 0.7500
C: 0.6521 0.1960 0.0000
Lu: 0.8086 0.9528 0.3984
Lu: 0.1168 0.2991 0.3985
Lu: 0.8832 0.7009 0.6015
Ta: 0.5266 0.3451 0.5731
Ta: 0.6549 0.4734 0.9269
Zn: 0.1563 0.8437 0.2500

Calculated values
Its space group is C2/c (15). The total DFT energy (no corrections) comes out at -156.6 eV per cell.

***

Entry 5:
Entry from OQMD: a geometry-optimized TbLu3Te2C2 structure (PBE).

a = 3.7701 Å, b = 3.7701 Å, c = 13.8119 Å
α = 90.00°, β = 90.00°, γ = 120.00°
Positions (direct):
Te: 0.0000 0.0000 0.2517
Te: 0.6667 0.3333 0.7446
Lu: 0.0000 0.0000 0.5896
C: 0.3333 0.6667 0.4989
Tb: 0.0000 0.0000 0.9076
Lu: 0.6667 0.3333 0.0949
Lu: 0.6667 0.3333 0.4083
C: 0.3333 0.6667 0.0043

Calculated values
Its space group is P3m1 (156). The total DFT energy (no corrections) comes out at -50.0 eV per cell.

***

Entry 6:
Entry from OQMD: a geometry-optimized TbLuTeC structure (PBE).

a = 3.7994 Å, b = 3.7994 Å, c = 13.9059 Å
α = 90.00°, β = 90.00°, γ = 120.00°
Positions (direct):
Tb: 0.6667 0.3333 0.5922
Te: 0.3333 0.6667 0.7536
Lu: 0.6667 0.3333 0.9070
Tb: 0.3333 0.6667 0.0922
C: 0.0000 0.0000 0.9972
Lu: 0.3333 0.6667 0.4070
Te: 0.6667 0.3333 0.2536
C: 0.0000 0.0000 0.4972

Calculated values
Its space group is P6_3mc (186). The total DFT energy (no corrections) comes out at -50.0 eV per cell.

***

Entry 7:
Entry from OQMD: a geometry-optimized TbLuTeC structure (PBE).

a = 3.7984 Å, b = 3.7984 Å, c = 13.9137 Å
α = 90.00°, β = 90.00°, γ = 120.00°
Positions (direct):
Tb: 0.6667 0.3333 0.8393
C: 0.0000 0.0000 0.2562
Tb: 0.6667 0.3333 0.1607
Lu: 0.3333 0.6667 0.6540
Lu: 0.3333 0.6667 0.3460
Te: 0.6667 0.3333 0.5000
C: 0.0000 0.0000 0.7438
Te: 0.3333 0.6667 0.0000

Calculated values
Its space group is P-6m2 (187). The total DFT energy (no corrections) comes out at -50.0 eV per cell.

***

Entry 8:
Entry from OQMD: a geometry-optimized Lu4TlTeC2 structure (PBE).

a = 3.6163 Å, b = 3.6163 Å, c = 14.8822 Å
α = 90.00°, β = 90.00°, γ = 120.00°
Positions (direct):
Tl: 0.6667 0.3333 0.5000
Te: 0.0000 0.0000 0.0000
Lu: 0.0000 0.0000 0.3254
C: 0.3333 0.6667 0.2363
Lu: 0.0000 0.0000 0.6746
C: 0.3333 0.6667 0.7637
Lu: 0.6667 0.3333 0.1533
Lu: 0.6667 0.3333 0.8467

Calculated values
Its space group is P-6m2 (187). The total DFT energy (no corrections) comes out at -47.3 eV per cell.

***

Entry 9:
Entry from OQMD: a geometry-optimized Lu4TlTeC2 structure (PBE).

a = 3.6222 Å, b = 3.6222 Å, c = 14.8317 Å
α = 90.00°, β = 90.00°, γ = 120.00°
Positions (direct):
Lu: 0.6667 0.3333 0.1529
Lu: 0.0000 0.0000 0.3257
C: 0.3333 0.6667 0.2364
C: 0.3333 0.6667 0.7636
Lu: 0.0000 0.0000 0.6743
Lu: 0.6667 0.3333 0.8471
Tl: 0.6667 0.3333 0.5000
Te: 0.0000 0.0000 0.0000

Calculated values
Its space group is P-6m2 (187). The total DFT energy (no corrections) comes out at -47.3 eV per cell.

***

Entry 10:
Entry from OQMD: a geometry-optimized TmLuTeC structure (PBE).

a = 3.7587 Å, b = 3.7587 Å, c = 13.7581 Å
α = 90.00°, β = 90.00°, γ = 120.00°
Positions (direct):
Tm: 0.3333 0.6667 0.0928
C: 0.0000 0.0000 0.5000
Tm: 0.6667 0.3333 0.9072
Lu: 0.6667 0.3333 0.5912
Lu: 0.3333 0.6667 0.4088
Te: 0.3333 0.6667 0.7483
Te: 0.6667 0.3333 0.2517
C: 0.0000 0.0000 0.0000

Calculated values
Its space group is P-3m1 (164). The total DFT energy (no corrections) comes out at -49.8 eV per cell.

***

Entry 11:
Entry from OQMD: a geometry-optimized TmLuTeC structure (PBE).

a = 3.7571 Å, b = 3.7571 Å, c = 13.7490 Å
α = 90.00°, β = 90.00°, γ = 120.00°
Positions (direct):
Te: 0.3333 0.6667 0.0000
C: 0.0000 0.0000 0.7497
Lu: 0.3333 0.6667 0.6580
Tm: 0.6667 0.3333 0.1580
C: 0.0000 0.0000 0.2503
Lu: 0.3333 0.6667 0.3420
Te: 0.6667 0.3333 0.5000
Tm: 0.6667 0.3333 0.8420

Calculated values
Its space group is P-6m2 (187). The total DFT energy (no corrections) comes out at -49.8 eV per cell.

***

Entry 12:
Entry from OQMD: a geometry-optimized Tm3LuTe2C2 structure (PBE).

a = 3.7666 Å, b = 3.7666 Å, c = 13.7808 Å
α = 90.00°, β = 90.00°, γ = 120.00°
Positions (direct):
Tm: 0.3333 0.6667 0.9084
Te: 0.3333 0.6667 0.2488
Tm: 0.0000 0.0000 0.4074
C: 0.6667 0.3333 0.0011
Te: 0.0000 0.0000 0.7501
C: 0.6667 0.3333 0.4999
Lu: 0.0000 0.0000 0.0919
Tm: 0.3333 0.6667 0.5925

Calculated values
Its space group is P3m1 (156). The total DFT energy (no corrections) comes out at -49.8 eV per cell.

***

total DFT energy (no corrections) of number 1 (LuZrSnC)?
-58.3 eV per cell